PaBIr3 | PBE | relaxed

Output
The calculation puts the uncorrected energy at -9.12 eV/atom. The energy above the lowest structure with this stoichiometry is 0 meV per atom. The calculation puts the formation enthalpy at 0 K at -0.57 eV per atom.

a b c (Å): 5.564 5.707 5.707
angles (deg): 120.00 90.00 90.00
Sites, in units of the cell vectors:
Pa  0.750  0.667  0.333
Pa  0.250  0.333  0.667
B  0.000  0.000  0.000
B  0.500  0.000  0.000
Ir  0.750  0.659  0.829
Ir  0.250  0.829  0.658
Ir  0.250  0.341  0.171
Ir  0.750  0.171  0.342
Ir  0.250  0.829  0.171
Ir  0.750  0.171  0.829